(1)
Below is a relaxed K2Ca3ErF12 crystal, with properties calculated at the PBE-GGA level.

## Properties
Formation energy (no corrections)   -3.411 eV/atom
Uncorrected energy   -5.368 eV per atom

abc: 8.0125 8.0125 20.7154
angles: 90.00 90.00 120.00
Space group R-3m (No. 166, hexagonal axes)
Unique sites:
K 0.0000 0.0000 0.0887 x6
Ca 0.0000 0.5000 0.0000 x9
Er 0.0000 0.0000 0.5000 x3
F 0.0397 0.5198 0.3622 x18
F 0.0837 0.5418 0.1048 x18

=====

(2)
Below is a relaxed Rb2Ca3ErF12 crystal, with properties calculated at the PBE-GGA level.

## Properties
Formation energy (no corrections)   -3.431 eV/atom
Uncorrected energy   -5.373 eV per atom

abc: 8.0859 8.0859 20.5755
angles: 90.00 90.00 120.00
Space group R-3m (No. 166, hexagonal axes)
Unique sites:
Rb 0.0000 0.0000 0.0988 x6
Ca 0.0000 0.5000 0.0000 x9
Er 0.0000 0.0000 0.5000 x3
F 0.0470 0.5235 0.3617 x18
F 0.0828 0.5414 0.1058 x18

=====

(3)
Below is a relaxed CaErS2F crystal, with properties calculated at the PBE-GGA level.

## Properties
Formation energy (no corrections)   -2.569 eV/atom
Uncorrected energy   -5.907 eV per atom

abc: 3.859 3.859 13.762
angles: 90.00 90.00 90.00
Space group P4/nmm (No. 129, origin choice 2)
Unique sites:
Ca 0.250 0.250 0.098 x2
Er 0.250 0.250 0.625 x2
S 0.250 0.250 0.410 x2
S 0.250 0.250 0.804 x2
F 0.250 0.750 0.000 x2

=====

(4)
Below is a relaxed Ca3ErTl2F12 crystal, with properties calculated at the PBE-GGA level.

## Properties
Formation energy (no corrections)   -3.198 eV/atom
Uncorrected energy   -5.296 eV per atom

abc: 7.8513 7.8513 20.7414
angles: 90.00 90.00 120.00
Space group R-3m (No. 166, hexagonal axes)
Unique sites:
Ca 0.0000 0.5000 0.0000 x9
Er 0.0000 0.0000 0.5000 x3
Tl 0.0000 0.0000 0.0785 x6
F 0.0178 0.5089 0.3665 x18
F 0.0846 0.5423 0.1026 x18

=====

(5)
Below is a relaxed CaEr3Fe crystal, with properties calculated at the PBE-GGA level.

## Properties
Polymorph energy (0 for the lowest one)   0.0 kJ/mol of formula units
ΔH_f (0 K)   0.035 eV/atom
Uncorrected energy   -4.796 eV per atom

abc: 5.262 5.262 5.262
angles: 90.00 90.00 90.00
Space group Pm-3m (No. 221)
Unique sites:
Ca 0.000 0.000 0.000 x1
Er 0.000 0.500 0.500 x3
Fe 0.500 0.500 0.500 x1

=====

(6)
Below is a relaxed CaEr3Fe crystal, with properties calculated at the PBE-GGA level.

## Properties
Polymorph energy (0 for the lowest one)   5.6 kJ/mol of formula units
ΔH_f (0 K)   0.046 eV/atom
Uncorrected energy   -4.784 eV per atom

abc: 8.991 3.625 9.582
angles: 90.00 110.28 90.00
Space group P2_1/m (No. 11)
Unique sites:
Ca 0.161 0.250 0.438 x2
Er 0.159 0.750 0.108 x2
Er 0.215 0.250 0.833 x2
Er 0.500 0.250 0.273 x2
Fe 0.440 0.750 0.027 x2

=====

(7)
Below is a relaxed CaEr2Fe crystal, with properties calculated at the PBE-GGA level.

## Properties
Polymorph energy (0 for the lowest one)   0.0 kJ/mol of formula units
ΔH_f (0 K)   0.054 eV/atom
Uncorrected energy   -4.843 eV per atom

abc: 3.346 3.346 9.450
angles: 90.00 90.00 90.00
Space group P4/mmm (No. 123)
Unique sites:
Ca 0.000 0.000 0.000 x1
Er 0.500 0.500 0.332 x2
Fe 0.000 0.000 0.500 x1

=====

(8)
Below is a relaxed CaEr2Fe crystal, with properties calculated at the PBE-GGA level.

## Properties
Polymorph energy (0 for the lowest one)   87.2 kJ/mol of formula units
ΔH_f (0 K)   0.280 eV/atom
Uncorrected energy   -4.617 eV per atom

abc: 3.6281 3.6281 31.1626
angles: 90.00 90.00 120.00
Space group R-3m (No. 166, hexagonal axes)
Unique sites:
Ca 0.0000 0.0000 0.0000 x3
Er 0.0000 0.0000 0.1137 x6
Fe 0.0000 0.0000 0.5000 x3

=====

- The highest uncorrected energy belongs to which entry?
  number 8

=====

- Which of these has the lowest uncorrected energy?
  CaErS2F

=====

Repeat the third record exactly.
Below is a relaxed CaErS2F crystal, with properties calculated at the PBE-GGA level.

## Properties
Formation energy (no corrections)   -2.569 eV/atom
Uncorrected energy   -5.907 eV per atom

abc: 3.859 3.859 13.762
angles: 90.00 90.00 90.00
Space group P4/nmm (No. 129, origin choice 2)
Unique sites:
Ca 0.250 0.250 0.098 x2
Er 0.250 0.250 0.625 x2
S 0.250 0.250 0.410 x2
S 0.250 0.250 0.804 x2
F 0.250 0.750 0.000 x2